Record 1
DFT (PBE) results for an optimized crystal structure of KReAg2.

```
KReAg2
1.0
2.725 0.000 0.000
0.000 4.265 0.000
-0.043 0.000 7.517
K Re Ag
1 1 2
Direct
0.000 0.000 0.000
0.000 0.000 0.500
0.497 0.500 0.316
0.503 0.500 0.684
```

ΔH_f (0 K) in eV per formula unit: 3.05
Crystal system: monoclinic
Magnetization in μB/f.u.: 0.9
Distance to the lowest polymorph of the same formula in meV/atom: 0
DFT total energy in eV for the cell shown: -16.20

Record 2
DFT (PBE) results for an optimized crystal structure of KRe2Ag.

```
KRe2Ag
1.0
3.767 0.000 0.000
0.000 3.767 0.000
0.000 0.000 10.885
K Re Ag
2 4 2
Direct
0.000 0.000 0.000
0.500 0.500 0.500
0.000 0.500 0.250
0.000 0.500 0.750
0.500 0.000 0.250
0.500 0.000 0.750
0.000 0.000 0.500
0.500 0.500 0.000
```

ΔH_f (0 K) in eV per formula unit: 5.96
Crystal system: tetragonal
Magnetization in μB/f.u.: 0.0
Distance to the lowest polymorph of the same formula in meV/atom: 836
DFT total energy in eV for the cell shown: -45.76

Record 3
DFT (PBE) results for an optimized crystal structure of KRe2Ag.

```
KRe2Ag
1.0
8.610 0.000 0.000
0.000 2.669 0.000
-0.325 0.000 7.699
K Re Ag
2 4 2
Direct
0.000 0.000 0.000
0.500 0.500 0.000
0.239 0.000 0.673
0.488 0.000 0.536
0.739 0.500 0.673
0.988 0.500 0.536
0.257 0.500 0.321
0.757 0.000 0.321
```

ΔH_f (0 K) in eV per formula unit: 3.48
Crystal system: monoclinic
Magnetization in μB/f.u.: 0.0
Distance to the lowest polymorph of the same formula in meV/atom: 215
DFT total energy in eV for the cell shown: -50.73

Record 4
DFT (PBE) results for an optimized crystal structure of KReAg2.

```
KReAg2
1.0
9.362 0.000 0.000
0.000 2.708 0.000
-0.501 0.000 7.123
K Re Ag
2 2 4
Direct
0.000 0.000 0.000
0.500 0.500 0.000
0.000 0.500 0.500
0.500 0.000 0.500
0.240 0.000 0.678
0.260 0.500 0.322
0.740 0.500 0.678
0.760 0.000 0.322
```

ΔH_f (0 K) in eV per formula unit: 3.43
Crystal system: monoclinic
Magnetization in μB/f.u.: 1.0
Distance to the lowest polymorph of the same formula in meV/atom: 95
DFT total energy in eV for the cell shown: -31.63

Record 5
DFT (PBE) results for an optimized crystal structure of KReAg2.

```
KReAg2
1.0
2.711 0.000 0.000
0.000 5.394 0.000
0.000 0.000 5.398
K Re Ag
1 1 2
Direct
0.000 0.000 0.000
0.000 0.500 0.510
0.500 0.000 0.501
0.500 0.500 0.014
```

ΔH_f (0 K) in eV per formula unit: 3.34
Crystal system: orthorhombic
Magnetization in μB/f.u.: 1.0
Distance to the lowest polymorph of the same formula in meV/atom: 72
DFT total energy in eV for the cell shown: -15.91

Record 6
DFT (PBE) results for an optimized crystal structure of KReAg2.

```
KReAg2
1.0
5.381 0.000 0.000
0.000 5.381 0.000
0.000 0.000 18.661
K Re Ag
4 4 8
Direct
0.000 0.250 0.375
0.000 0.750 0.625
0.500 0.250 0.125
0.500 0.750 0.875
0.000 0.250 0.875
0.000 0.750 0.125
0.500 0.250 0.625
0.500 0.750 0.375
0.000 0.000 0.000
0.000 0.500 0.000
0.250 0.250 0.750
0.250 0.750 0.250
0.500 0.000 0.500
0.500 0.500 0.500
0.750 0.250 0.750
0.750 0.750 0.250
```

ΔH_f (0 K) in eV per formula unit: 5.40
Crystal system: tetragonal
Magnetization in μB/f.u.: 3.8
Distance to the lowest polymorph of the same formula in meV/atom: 587
DFT total energy in eV for the cell shown: -55.38